# 1
A plane-wave DFT calculation with meta-GGA SCAN was carried out for a PBEsol-optimized structure of FeCI2N.

Uncorrected formation energy ... 1682 meV/atom
SG ... No. 123

abc: 5.1082 5.1082 3.3943
angles: 90.00 90.00 90.00
Closest atoms and distances in Å follow each position.
Element x y z (fractional)
1 Fe 0.0000 0.0000 0.0000  2 N 1.70
2 C 0.5000 0.5000 0.5000  8 I 3.07, 2 C 3.39
3 I 0.0000 0.5000 0.0000  2 Fe 2.55
4 I 0.5000 0.0000 0.0000  2 Fe 2.55
5 N 0.0000 0.0000 0.5000  2 Fe 1.70

# 2
A plane-wave DFT calculation with meta-GGA SCAN was carried out for a PBEsol-optimized structure of In3FeC.

E_form ... 1368.1 meV/atom
SG ... No. 221

abc: 4.8601 4.8601 4.8601
angles: 90.00 90.00 90.00
Closest atoms and distances in Å follow each position.
Element x y z (fractional)
1 In 0.0000 0.0000 0.5000  2 Fe 2.43
2 In 0.0000 0.5000 0.0000  2 Fe 2.43
3 In 0.5000 0.0000 0.0000  2 Fe 2.43
4 Fe 0.0000 0.0000 0.0000  6 In 2.43
5 C 0.5000 0.5000 0.5000  12 In 3.44

# 3
A plane-wave DFT calculation with meta-GGA SCAN was carried out for a PBEsol-optimized structure of InFe2C.

E_form ... 1473.6 meV/atom
SG ... No. 225

abc: 5.7874 5.7874 5.7874
angles: 90.00 90.00 90.00
Closest atoms and distances in Å follow each position.
Element x y z (fractional)
1 In 0.0000 0.0000 0.0000  8 Fe 2.51
2 In 0.0000 0.5000 0.5000  8 Fe 2.51
3 In 0.5000 0.0000 0.5000  8 Fe 2.51
4 In 0.5000 0.5000 0.0000  8 Fe 2.51
5 Fe 0.2500 0.2500 0.2500  4 C 2.51, 4 In 2.51
6 Fe 0.2500 0.2500 0.7500  4 In 2.51, 4 C 2.51
7 Fe 0.2500 0.7500 0.2500  4 In 2.51, 4 C 2.51
8 Fe 0.2500 0.7500 0.7500  4 C 2.51, 4 In 2.51
9 Fe 0.7500 0.2500 0.2500  4 In 2.51, 4 C 2.51
10 Fe 0.7500 0.2500 0.7500  4 C 2.51, 4 In 2.51
11 Fe 0.7500 0.7500 0.2500  4 C 2.51, 4 In 2.51
12 Fe 0.7500 0.7500 0.7500  4 In 2.51, 4 C 2.51
13 C 0.0000 0.0000 0.5000  8 Fe 2.51
14 C 0.0000 0.5000 0.0000  8 Fe 2.51
15 C 0.5000 0.0000 0.0000  8 Fe 2.51
16 C 0.5000 0.5000 0.5000  8 Fe 2.51

# 4
A plane-wave DFT calculation with meta-GGA SCAN was carried out for a PBEsol-optimized structure of InFeSiC2.

Uncorrected formation energy ... 1552 meV/atom
SG ... No. 123

abc: 3.7123 3.7123 4.7301
angles: 90.00 90.00 90.00
Closest atoms and distances in Å follow each position.
Element x y z (fractional)
1 In 0.0000 0.0000 0.0000  4 Fe 2.63
2 Fe 0.5000 0.5000 0.0000  2 Si 2.37, 4 In 2.63
3 Si 0.5000 0.5000 0.5000  4 C 1.86
4 C 0.0000 0.5000 0.5000  2 Si 1.86
5 C 0.5000 0.0000 0.5000  2 Si 1.86

# 5
A plane-wave DFT calculation with meta-GGA SCAN was carried out for a PBEsol-optimized structure of FeSnIr2C.

E_form ... 2419.5 meV/atom
SG ... No. 123

abc: 4.3735 4.3735 4.6576
angles: 90.00 90.00 90.00
Closest atoms and distances in Å follow each position.
Element x y z (fractional)
1 Fe 0.0000 0.0000 0.0000  4 Ir 2.19, 2 Sn 2.33
2 Sn 0.0000 0.0000 0.5000  2 Fe 2.33
3 Ir 0.0000 0.5000 0.0000  2 Fe 2.19
4 Ir 0.5000 0.0000 0.0000  2 Fe 2.19
5 C 0.5000 0.5000 0.5000  4 Sn 3.09, 8 Ir 3.19

# 6
A plane-wave DFT calculation with meta-GGA SCAN was carried out for a PBEsol-optimized structure of K2FeC2.

E_form ... 1058.1 meV/atom
SG ... No. 139

abc: 4.9723 4.9723 9.1877
angles: 90.00 90.00 90.00
Closest atoms and distances in Å follow each position.
Element x y z (fractional)
1 K 0.0000 0.5000 0.2500  4 C 2.99
2 K 0.0000 0.5000 0.7500  4 C 2.99
3 K 0.5000 0.0000 0.2500  4 C 2.99
4 K 0.5000 0.0000 0.7500  4 C 2.99
5 Fe 0.0000 0.0000 0.0000  8 K 3.38, 8 C 3.57
6 Fe 0.5000 0.5000 0.5000  8 K 3.38, 8 C 3.57
7 C 0.0000 0.0000 0.4307  1 C 1.27
8 C 0.0000 0.0000 0.5693  1 C 1.27
9 C 0.5000 0.5000 0.0693  1 C 1.27
10 C 0.5000 0.5000 0.9307  1 C 1.27

# 7
A plane-wave DFT calculation with meta-GGA SCAN was carried out for a PBEsol-optimized structure of KNa2FeC.

E_form ... 1802.8 meV/atom
SG ... No. 123

abc: 5.4373 5.4373 6.0074
angles: 90.00 90.00 90.00
Closest atoms and distances in Å follow each position.
Element x y z (fractional)
1 K 0.0000 0.0000 0.0000  2 Fe 3.00
2 Na 0.0000 0.5000 0.5000  2 Fe 2.72
3 Na 0.5000 0.0000 0.5000  2 Fe 2.72
4 Fe 0.0000 0.0000 0.5000  4 Na 2.72, 2 K 3.00
5 C 0.5000 0.5000 0.0000  4 K 3.84, 8 Na 4.05

# 8
A plane-wave DFT calculation with meta-GGA SCAN was carried out for a PBEsol-optimized structure of K3FePCO7.

Uncorrected formation energy ... -2103 meV/atom
SG ... No. 11

abc: 5.5955 6.8586 9.4251
angles: 90.00 90.01 90.00
Closest atoms and distances in Å follow each position.
Element x y z (fractional)
1 K 0.2494 0.0074 0.2951  9 O 2.78-3.08
2 K 0.2494 0.4926 0.2951  9 O 2.78-3.08
3 K 0.2511 0.7500 0.9299  6 O 2.67-2.80
4 K 0.7489 0.2500 0.0701  6 O 2.67-2.80
5 K 0.7506 0.5074 0.7049  9 O 2.78-3.08
6 K 0.7506 0.9926 0.7049  9 O 2.78-3.08
7 Fe 0.2506 0.2500 0.6500  6 O 2.01-2.19
8 Fe 0.7494 0.7500 0.3500  6 O 2.01-2.19
9 P 0.2490 0.7500 0.5828  4 O 1.55
10 P 0.7510 0.2500 0.4172  4 O 1.55
11 C 0.2487 0.2500 0.9229  3 O 1.28-1.31
12 C 0.7513 0.7500 0.0771  3 O 1.28-1.31
13 O 0.0213 0.7500 0.4888  1 P 1.55
14 O 0.0504 0.2500 0.8498  1 C 1.31
15 O 0.2487 0.2500 0.0592  1 C 1.28
16 O 0.2506 0.5661 0.6785  1 P 1.55
17 O 0.2506 0.9339 0.6785  1 P 1.55
18 O 0.4474 0.2500 0.8500  1 C 1.31
19 O 0.4724 0.7500 0.4856  1 P 1.55
20 O 0.5276 0.2500 0.5144  1 P 1.55
21 O 0.5526 0.7500 0.1500  1 C 1.31
22 O 0.7494 0.0661 0.3215  1 P 1.55
23 O 0.7494 0.4339 0.3215  1 P 1.55
24 O 0.7513 0.7500 0.9408  1 C 1.28
25 O 0.9496 0.7500 0.1502  1 C 1.31
26 O 0.9787 0.2500 0.5112  1 P 1.55

# 9
A plane-wave DFT calculation with meta-GGA SCAN was carried out for a PBEsol-optimized structure of LaMgFeC2.

E_form ... 1409.8 meV/atom
SG ... No. 123

abc: 4.0310 4.0310 4.6198
angles: 90.00 90.00 90.00
Closest atoms and distances in Å follow each position.
Element x y z (fractional)
1 La 0.0000 0.0000 0.0000  2 Fe 2.31
2 Mg 0.5000 0.5000 0.0000  4 La 2.85, 8 C 3.07
3 Fe 0.0000 0.0000 0.5000  4 C 2.02
4 C 0.0000 0.5000 0.5000  2 Fe 2.02
5 C 0.5000 0.0000 0.5000  2 Fe 2.02

# 10
A plane-wave DFT calculation with meta-GGA SCAN was carried out for a PBEsol-optimized structure of LaFe2RuC.

E_form ... 3063.3 meV/atom
SG ... No. 123

abc: 4.4583 4.4583 4.6833
angles: 90.00 90.00 90.00
Closest atoms and distances in Å follow each position.
Element x y z (fractional)
1 La 0.0000 0.0000 0.0000  4 Fe 2.23, 2 Ru 2.34
2 Fe 0.0000 0.5000 0.0000  2 La 2.23
3 Fe 0.5000 0.0000 0.0000  2 La 2.23
4 Ru 0.0000 0.0000 0.5000  2 La 2.34
5 C 0.5000 0.5000 0.5000  4 Ru 3.15, 8 Fe 3.23

Number 1: size of the total moment 0.026 μB/f.u.. Number 2: size of the total moment 3.622 μB/f.u.. Number 3: size of the total moment 4.794 μB/f.u.. Number 4: size of the total moment 2.644 μB/f.u.. Number 5: size of the total moment 1.387 μB/f.u.. Number 6: size of the total moment 4.000 μB/f.u.. Number 7: size of the total moment 5.180 μB/f.u.. Number 8: size of the total moment 4.000 μB/f.u.. Number 9: size of the total moment 0.000 μB/f.u.. Number 10: size of the total moment 5.638 μB/f.u..